# Ba2RhBrO4 | the Alexandria database | GGA-PBE | relaxed
# crystal system	monoclinic
# energy relative to the elements, uncorrected	-1.62	eV per atom
data_Ba2RhBrO4
_space_group_name_H-M_alt 'P 1'
_space_group_IT_number 1
_space_group_name_Hall 'P 1'
_cell_length_a 3.526
_cell_length_b 5.126
_cell_length_c 9.987
_cell_angle_alpha 78.97
_cell_angle_beta 79.83
_cell_angle_gamma 69.88
loop_
_atom_site_label
_atom_site_type_symbol
_atom_site_fract_x
_atom_site_fract_y
_atom_site_fract_z
O1 O 0.114 0.963 0.810
O2 O 0.613 0.740 0.034
O3 O 0.387 0.260 0.966
O4 O 0.886 0.037 0.190
Br1 Br 0.500 0.500 0.500
Ba1 Ba 0.174 0.429 0.222
Ba2 Ba 0.826 0.571 0.778
Rh1 Rh 0.000 0.000 0.000